The following is a DFT calculation (PBE) of a relaxed structure of K3La2BiSe6.

a = 7.624 Å, b = 7.624 Å, c = 8.113 Å
α = 99.01°, β = 99.01°, γ = 120.00°
Sites, in units of the cell vectors:
K 0.000 0.000 0.000
K 0.335 0.665 0.000
K 0.665 0.335 0.000
La 0.167 0.833 0.500
La 0.833 0.167 0.500
Bi 0.500 0.500 0.500
Se 0.099 0.429 0.288
Se 0.241 0.241 0.712
Se 0.429 0.099 0.288
Se 0.571 0.901 0.712
Se 0.759 0.759 0.288
Se 0.901 0.571 0.712

Output
Raw total energy, eV per cell: -55.8
Density, g/cm3: 4.61
Magnetization, μB per atom: 0.000
SG: C2/m (12)

The following is a DFT calculation (PBE) of a relaxed structure of K4La3BiSe8.

a = 9.229 Å, b = 9.229 Å, c = 9.229 Å
α = 57.14°, β = 57.14°, γ = 57.14°
Sites, in units of the cell vectors:
K 0.000 0.000 0.000
K 0.000 0.500 0.500
K 0.500 0.000 0.500
K 0.500 0.500 0.000
La 0.000 0.000 0.500
La 0.000 0.500 0.000
La 0.500 0.000 0.000
Bi 0.500 0.500 0.500
Se 0.237 0.237 0.237
Se 0.241 0.736 0.736
Se 0.264 0.264 0.759
Se 0.264 0.759 0.264
Se 0.736 0.241 0.736
Se 0.736 0.736 0.241
Se 0.759 0.264 0.264
Se 0.763 0.763 0.763

Output
Raw total energy, eV per cell: -76.1
Density, g/cm3: 4.52
Magnetization, μB per atom: 0.000
SG: R-3m (166)

The following is a DFT calculation (PBE) of a relaxed structure of KSr2LaBi.

a = 6.614 Å, b = 6.614 Å, c = 6.342 Å
α = 90.00°, β = 90.00°, γ = 90.00°
Sites, in units of the cell vectors:
K 0.000 0.000 0.000
Sr 0.000 0.500 0.500
Sr 0.500 0.000 0.500
La 0.500 0.500 0.000
Bi 0.500 0.500 0.500

Output
Energy of formation from the pure elements, eV per atom: -0.11
Raw total energy, eV per cell: -13.8
Density, g/cm3: 3.37
Magnetization, μB per atom: 0.214
SG: P4/mmm (123)

The following is a DFT calculation (PBE) of a relaxed structure of KSrLaBi2.

a = 6.182 Å, b = 6.182 Å, c = 5.520 Å
α = 90.00°, β = 90.00°, γ = 90.00°
Sites, in units of the cell vectors:
K 0.000 0.000 0.000
Sr 0.000 0.000 0.500
La 0.500 0.500 0.000
Bi 0.000 0.500 0.500
Bi 0.500 0.000 0.500

Output
Energy of formation from the pure elements, eV per atom: 0.19
Raw total energy, eV per cell: -14.5
Density, g/cm3: 5.38
Magnetization, μB per atom: 0.000
SG: P4/mmm (123)

The following is a DFT calculation (PBE) of a relaxed structure of K2LaBiTe.

a = 6.111 Å, b = 6.111 Å, c = 6.534 Å
α = 90.00°, β = 90.00°, γ = 90.00°
Sites, in units of the cell vectors:
K 0.000 0.500 0.000
K 0.500 0.000 0.000
La 0.000 0.000 0.500
Bi 0.500 0.500 0.500
Te 0.500 0.500 0.000

Output
Raw total energy, eV per cell: -13.7
Density, g/cm3: 3.77
Magnetization, μB per atom: 0.002
SG: P4/mmm (123)

The following is a DFT calculation (PBE) of a relaxed structure of K3LaBi2Te6.

a = 8.027 Å, b = 8.027 Å, c = 8.713 Å
α = 98.84°, β = 98.84°, γ = 120.02°
Sites, in units of the cell vectors:
K 0.000 0.000 0.000
K 0.333 0.667 0.000
K 0.667 0.333 0.000
La 0.500 0.500 0.500
Bi 0.167 0.833 0.500
Bi 0.833 0.167 0.500
Te 0.089 0.429 0.287
Te 0.231 0.231 0.713
Te 0.429 0.089 0.287
Te 0.571 0.911 0.713
Te 0.769 0.769 0.287
Te 0.911 0.571 0.713

Output
Raw total energy, eV per cell: -45.7
Density, g/cm3: 5.17
Magnetization, μB per atom: 0.000
SG: C2/m (12)

The following is a DFT calculation (PBE) of a relaxed structure of K2LaBiTe4.

a = 8.074 Å, b = 4.649 Å, c = 8.700 Å
α = 90.00°, β = 107.99°, γ = 90.00°
Sites, in units of the cell vectors:
K 0.000 0.000 0.000
K 0.500 0.500 0.000
La 0.000 0.500 0.500
Bi 0.500 0.000 0.500
Te 0.243 0.000 0.716
Te 0.267 0.500 0.287
Te 0.733 0.500 0.713
Te 0.757 0.000 0.284

Output
Raw total energy, eV per cell: -32.0
Density, g/cm3: 5.01
Magnetization, μB per atom: 0.000
SG: P2/m (10)

The following is a DFT calculation (PBE) of a relaxed structure of KLa2TiBi.

a = 5.454 Å, b = 5.454 Å, c = 5.755 Å
α = 90.00°, β = 90.00°, γ = 90.00°
Sites, in units of the cell vectors:
K 0.000 0.000 0.000
La 0.000 0.500 0.000
La 0.500 0.000 0.000
Ti 0.500 0.500 0.500
Bi 0.000 0.000 0.500

Output
Energy of formation from the pure elements, eV per atom: 1.25
Raw total energy, eV per cell: -16.5
Density, g/cm3: 5.56
Magnetization, μB per atom: 0.000
SG: P4/mmm (123)

The following is a DFT calculation (PBE) of a relaxed structure of KLaZnBi2.

a = 5.670 Å, b = 5.670 Å, c = 5.262 Å
α = 90.00°, β = 90.00°, γ = 90.00°
Sites, in units of the cell vectors:
K 0.000 0.000 0.000
La 0.500 0.500 0.000
Zn 0.000 0.000 0.500
Bi 0.000 0.500 0.500
Bi 0.500 0.000 0.500

Output
Energy of formation from the pure elements, eV per atom: 0.01
Raw total energy, eV per cell: -15.0
Density, g/cm3: 6.49
Magnetization, μB per atom: 0.000
SG: P4/mmm (123)

The following is a DFT calculation (PBE) of a relaxed structure of KLa2ZnBi.

a = 6.203 Å, b = 6.203 Å, c = 6.476 Å
α = 90.00°, β = 90.00°, γ = 90.00°
Sites, in units of the cell vectors:
K 0.000 0.000 0.000
La 0.000 0.500 0.500
La 0.500 0.000 0.500
Zn 0.500 0.500 0.000
Bi 0.000 0.000 0.500

Output
Energy of formation from the pure elements, eV per atom: 0.26
Raw total energy, eV per cell: -14.8
Density, g/cm3: 3.94
Magnetization, μB per atom: 0.002
SG: P4/mmm (123)

The following is a DFT calculation (PBE) of a relaxed structure of KLi12Bi6.

a = 8.124 Å, b = 8.124 Å, c = 8.124 Å
α = 103.71°, β = 103.71°, γ = 103.71°
Sites, in units of the cell vectors:
K 0.000 0.000 0.000
Li 0.115 0.500 0.885
Li 0.115 0.885 0.500
Li 0.140 0.439 0.439
Li 0.439 0.140 0.439
Li 0.439 0.439 0.140
Li 0.500 0.115 0.885
Li 0.500 0.885 0.115
Li 0.561 0.561 0.860
Li 0.561 0.860 0.561
Li 0.860 0.561 0.561
Li 0.885 0.115 0.500
Li 0.885 0.500 0.115
Bi 0.250 0.250 0.709
Bi 0.250 0.709 0.250
Bi 0.291 0.750 0.750
Bi 0.709 0.250 0.250
Bi 0.750 0.291 0.750
Bi 0.750 0.750 0.291

Output
Energy of formation from the pure elements, eV per atom: -0.35
Raw total energy, eV per cell: -53.9
Density, g/cm3: 4.75
Magnetization, μB per atom: 0.000
SG: R-3m (166)

The following is a DFT calculation (PBE) of a relaxed structure of KLiBi4.

a = 6.715 Å, b = 6.715 Å, c = 6.715 Å
α = 60.00°, β = 60.00°, γ = 60.00°
Sites, in units of the cell vectors:
K 0.000 0.000 0.000
Li 0.250 0.250 0.250
Bi 0.125 0.625 0.625
Bi 0.625 0.125 0.625
Bi 0.625 0.625 0.125
Bi 0.625 0.625 0.625

Output
Energy of formation from the pure elements, eV per atom: -0.10
Raw total energy, eV per cell: -19.1
Density, g/cm3: 6.84
Magnetization, μB per atom: 0.000
SG: F-43m (216)